The following is a GGA-PBE calculation of a relaxed ZrCdCo2Pt crystal, from Alexandria via LeMat-Bulk.

Geometry as POSCAR:
```
ZrCdCo2Pt
1.0
-2.5694 -3.7485 -1.2086
3.4711 -2.9904 1.8957
-2.1621 0.1363 4.1737
Cd Zr Co Pt
1 1 2 1
Direct
0.5000 0.5000 0.5000
0.0000 0.5000 0.0000
0.5000 0.0000 0.0000
0.0000 0.0000 0.5000
0.0000 0.0000 0.0000
```

Output
M_tot ... 0.78 μB per atom
Formation enthalpy at 0 K ... 708.4 meV/atom
Symmetry ... P4/mmm